Record 1
The following is a GGA-PBE calculation of CsBaVS4 after structural relaxation, from Alexandria via LeMat-Bulk.

Lattice parameters (Å, degrees): 6.9463 9.9951 12.4534 90.00 90.00 90.00
Fractional positions:
S1 0.2500 0.5640 0.0752
S2 0.2500 0.2082 0.0560
S3 0.0005 0.3648 0.2655
S4 0.7500 0.7918 0.9440
S5 0.0005 0.1352 0.7655
S6 0.4995 0.3648 0.2655
S7 0.7500 0.0640 0.4248
S8 0.7500 0.7082 0.4440
S9 0.2500 0.9360 0.5752
S10 0.2500 0.2918 0.5560
S11 0.9995 0.6352 0.7345
S12 0.5005 0.8648 0.2345
S13 0.5005 0.6352 0.7345
S14 0.7500 0.4360 0.9248
S15 0.4995 0.1352 0.7655
S16 0.9995 0.8648 0.2345
Ba1 0.2500 0.0968 0.3521
Ba2 0.7500 0.9032 0.6479
Ba3 0.7500 0.5968 0.1479
Ba4 0.2500 0.4032 0.8521
Cs1 0.2500 0.8700 0.9264
Cs2 0.7500 0.1300 0.0736
Cs3 0.2500 0.6300 0.4264
Cs4 0.7500 0.3700 0.5736
V1 0.2500 0.1216 0.6633
V2 0.2500 0.3784 0.1633
V3 0.7500 0.6216 0.8367
V4 0.7500 0.8784 0.3367

## Properties
- V (A^3/atom) = 30.9
- relative energy among the computed polymorphs (kcal/mol of atoms) = 0.05
- uncorrected formation energy (kJ/mol of formula units) = -949.2

***

Record 2
The following is a GGA-PBE calculation of CsBaVS4 after structural relaxation, from Alexandria via LeMat-Bulk.

Lattice parameters (Å, degrees): 7.1012 6.9024 9.7539 90.00 106.99 90.00
Fractional positions:
S1 0.6079 0.2500 0.8198
S2 0.0035 0.5010 0.2673
S3 0.3575 0.7500 0.5378
S4 0.6425 0.2500 0.4622
S5 0.9965 0.4990 0.7327
S6 0.3921 0.7500 0.1802
S7 0.9965 0.0010 0.7327
S8 0.0035 0.9990 0.2673
Cs1 0.7136 0.7500 0.9323
Cs2 0.2864 0.2500 0.0677
Ba1 0.7641 0.7500 0.4573
Ba2 0.2359 0.2500 0.5427
V1 0.8045 0.2500 0.6879
V2 0.1955 0.7500 0.3121

## Properties
- V (A^3/atom) = 32.7
- relative energy among the computed polymorphs (kcal/mol of atoms) = 0.00
- uncorrected formation energy (kJ/mol of formula units) = -950.7

***

Record 3
The following is a GGA-PBE calculation of Cs2BaV2S7 after structural relaxation, from Alexandria via LeMat-Bulk.

Lattice parameters (Å, degrees): 6.9015 6.9015 10.5810 70.97 70.97 60.00
Fractional positions:
V1 0.9244 0.9244 0.2269
V2 0.0756 0.0756 0.7731
Ba1 0.5000 0.5000 0.5000
S1 0.3920 0.0971 0.7102
S2 0.0000 0.0000 0.0000
S3 0.6080 0.1993 0.2898
S4 0.8007 0.3920 0.7102
S5 0.1993 0.9029 0.2898
S6 0.0971 0.8007 0.7102
S7 0.9029 0.6080 0.2898
Cs1 0.6745 0.6745 0.9765
Cs2 0.3255 0.3255 0.0235

## Properties
- V (A^3/atom) = 33.7
- uncorrected formation energy (kJ/mol of formula units) = -1290.3

***

Record 4
The following is a GGA-PBE calculation of CsBaWS4 after structural relaxation, from Alexandria via LeMat-Bulk.

Lattice parameters (Å, degrees): 7.3274 6.9957 9.7150 90.00 106.68 90.00
Each line ends with the local moment (μB).
Fractional positions:
S1 0.6256 0.2500 0.4500  0.02
S2 0.0108 0.0030 0.2742  0.01
S3 0.6006 0.2500 0.8290  0.01
S4 0.3994 0.7500 0.1710  0.01
S5 0.9892 0.9970 0.7258  0.01
S6 0.0108 0.4970 0.2742  0.01
S7 0.3744 0.7500 0.5500  0.02
S8 0.9892 0.5030 0.7258  0.01
Cs1 0.2824 0.2500 0.0661  0.00
Cs2 0.7176 0.7500 0.9339  0.00
Ba1 0.7605 0.7500 0.4508  0.02
Ba2 0.2395 0.2500 0.5492  0.02
W1 0.7921 0.2500 0.6847  0.61
W2 0.2079 0.7500 0.3153  0.61

## Properties
- V (A^3/atom) = 34.1
- uncorrected formation energy (kJ/mol of formula units) = -790.8

***

Record 5
The following is a GGA-PBE calculation of Cs2BaWS4 after structural relaxation, from Alexandria via LeMat-Bulk.

Lattice parameters (Å, degrees): 7.4090 7.4090 7.4090 101.56 113.57 113.57
Each line ends with the local moment (μB).
Fractional positions:
Ba1 0.5000 0.2500 0.7500  0.06
Cs1 0.0000 0.0000 0.0000  0.01
Cs2 0.5000 0.7500 0.2500  0.01
S1 0.0371 0.2209 0.5623  0.01
S2 0.9629 0.5253 0.1838  0.01
S3 0.6585 0.4377 0.4747  0.01
S4 0.3415 0.8162 0.7791  0.01
W1 0.0000 0.5000 0.5000  1.23

## Properties
- V (A^3/atom) = 38.6
- uncorrected formation energy (kJ/mol of formula units) = -772.0

***

Record 6
The following is a GGA-PBE calculation of Cs2BaZn2S4 after structural relaxation, from Alexandria via LeMat-Bulk.

Lattice parameters (Å, degrees): 4.2410 8.6092 8.6061 112.33 104.26 90.00
Fractional positions:
S1 0.2098 0.1351 0.4196
S2 0.5323 0.7641 0.0645
S3 0.4677 0.2359 0.9355
S4 0.7902 0.8649 0.5804
Zn1 0.3271 0.0374 0.6541
Zn2 0.6729 0.9626 0.3459
Ba1 0.0000 0.0000 0.0000
Cs1 0.1279 0.5571 0.2558
Cs2 0.8721 0.4429 0.7442

## Properties
- V (A^3/atom) = 31.1
- uncorrected formation energy (kJ/mol of formula units) = -1056.8

***

Record 7
The following is a GGA-PBE calculation of CsBaZnS2 after structural relaxation, from Alexandria via LeMat-Bulk.

Lattice parameters (Å, degrees): 5.3385 7.9363 9.3658 99.18 90.00 90.00
Fractional positions:
S1 0.2758 0.2177 0.0270
S2 0.7242 0.7823 0.9730
S3 0.2758 0.7823 0.4730
S4 0.7242 0.2177 0.5270
Zn1 0.0000 0.0000 0.5000
Zn2 0.0000 0.0000 0.0000
Cs1 0.1418 0.5000 0.7500
Cs2 0.8582 0.5000 0.2500
Ba1 0.5106 0.0000 0.7500
Ba2 0.4894 0.0000 0.2500

## Properties
- V (A^3/atom) = 39.2
- uncorrected formation energy (kJ/mol of formula units) = -482.6

***

Record 8
The following is a GGA-PBE calculation of CsBa2ZrS after structural relaxation, from Alexandria via LeMat-Bulk.

Lattice parameters (Å, degrees): 6.0877 5.8636 6.0877 90.00 90.00 90.00
Fractional positions:
Ba1 0.0000 0.0000 0.5000
Ba2 0.5000 0.0000 0.0000
Cs1 0.0000 0.5000 0.0000
Zr1 0.0000 0.0000 0.0000
S1 0.5000 0.5000 0.5000

## Properties
- V (A^3/atom) = 43.5
- uncorrected formation energy (kJ/mol of formula units) = 300.4